DFT (GGA-PBEsol) results for MnHgSe2N after structural relaxation.

The calculation puts the energy relative to the elements, uncorrected at 1300 meV per atom. The calculation puts the calculated volume at 111.37 Å³ per cell.

It has space group P4/mmm (No. 123), with a = 5.270 Å, b = 5.270 Å, c = 4.009 Å, α = 90.00°, β = 90.00° and γ = 90.00°. Symmetry generates all atoms from Mn at (0.000, 0.000, 0.000), Hg at (0.500, 0.500, 0.500), Se at (0.000, 0.500, 0.500) and N at (0.500, 0.500, 0.000).



DFT (GGA-PBEsol) results for Ti4V after structural relaxation.

The calculation puts the calculated volume at 314.25 Å³ per cell. The formation energy from the elements is 0.114 eV per atom.

It has space group Fmmm (No. 69), with a = 3.064 Å, b = 4.544 Å, c = 22.571 Å, α = 90.00°, β = 90.00° and γ = 90.00°. Symmetry generates all atoms from Ti at (0.000, 0.000, 0.092), Ti at (0.000, 0.000, 0.301) and V at (0.000, 0.000, 0.500).



DFT (GGA-PBEsol) results for RePbAu2 after structural relaxation.

The calculation puts the calculated volume at 146.43 Å³ per cell. The formation energy from the elements is 0.821 eV per atom.

It has space group I4/mmm (No. 139), with a = 4.054 Å, b = 4.054 Å, c = 8.908 Å, α = 90.00°, β = 90.00° and γ = 90.00°. Symmetry generates all atoms from Re at (0.000, 0.000, 0.000), Pb at (0.000, 0.000, 0.500) and Au at (0.000, 0.500, 0.250).



Which of these has the lowest calculated volume? MnHgSe2N



calculated volume of number 2 (Ti4V)? 314.25 Å³ per cell